A relaxed FeCl3F crystal, computed with PBE+U.

Summary:
D(E_F): 2.307 states/eV/atom
SG: Pm-3m, No. 221
Uncorrected energy: -2.957 eV/atom

POSCAR file:
```
FeCl3F
1.0
4.770 0.000 0.000
0.000 4.770 0.000
0.000 0.000 4.770
Fe Cl F
1 3 1
Direct
0.000 0.000 0.000
0.000 0.000 0.500
0.000 0.500 0.000
0.500 0.000 0.000
0.500 0.500 0.500
```